Entry P
Computed, not measured: a relaxed structure of ScSeCl2 at the PBEsol level of DFT.

Unit cell a=3.2981 b=3.2981 c=27.7889 alpha=90.00 beta=90.00 gamma=120.00
Space group R-3m (No. 166, hexagonal axes)
Asymmetric unit:
1 Sc 0.0000 0.0000 0.0000 [3 per cell]
2 Se 0.0000 0.0000 0.5000 [3 per cell]
3 Cl 0.0000 0.0000 0.2757 [6 per cell]

## Properties
Mass density: 3708 kg/m3


Entry Q
Computed, not measured: a relaxed structure of ScSeCl2 at the PBEsol level of DFT.

Unit cell a=4.250 b=4.250 c=8.444 alpha=90.00 beta=90.00 gamma=90.00
Space group I4/mmm (No. 139)
Asymmetric unit:
1 Sc 0.000 0.000 0.000 [2 per cell]
2 Se 0.000 0.000 0.500 [2 per cell]
3 Cl 0.000 0.500 0.250 [4 per cell]

## Properties
Mass density: 4242 kg/m3


Entry R
Computed, not measured: a relaxed structure of ScSeCl2 at the PBEsol level of DFT.

Unit cell a=3.147 b=4.800 c=13.485 alpha=90.00 beta=90.00 gamma=90.00
Space group Imm2 (No. 44)
Asymmetric unit:
1 Sc 0.000 0.000 0.000 [2 per cell]
2 Se 0.000 0.500 0.663 [2 per cell]
3 Cl 0.000 0.000 0.509 [2 per cell]
4 Cl 0.000 0.500 0.360 [2 per cell]

## Properties
Mass density: 3176 kg/m3


Which structure wins on stability? entry R wins.


Entry P
Computed, not measured: a relaxed structure of ScSiCl2 at the PBEsol level of DFT.

Unit cell a=4.218 b=4.218 c=8.337 alpha=90.00 beta=90.00 gamma=90.00
Space group I4/mmm (No. 139)
Asymmetric unit:
1 Sc 0.000 0.000 0.000 [2 per cell]
2 Si 0.000 0.000 0.500 [2 per cell]
3 Cl 0.000 0.500 0.250 [4 per cell]

## Properties
Mass density: 3223 kg/m3


Entry Q
Computed, not measured: a relaxed structure of ScSiCl2 at the PBEsol level of DFT.

Unit cell a=3.2731 b=3.2731 c=27.6694 alpha=90.00 beta=90.00 gamma=120.00
Space group R-3m (No. 166, hexagonal axes)
Asymmetric unit:
1 Sc 0.0000 0.0000 0.0000 [3 per cell]
2 Si 0.0000 0.0000 0.5000 [3 per cell]
3 Cl 0.0000 0.0000 0.0860 [6 per cell]

## Properties
Mass density: 2793 kg/m3


Which structure wins on stability? entry P wins.


Entry P
Computed, not measured: a relaxed structure of Sc2SiCl at the PBEsol level of DFT.

Unit cell a=3.162 b=3.162 c=7.984 alpha=90.00 beta=90.00 gamma=90.00
Space group P4mm (No. 99)
Asymmetric unit:
1 Sc 0.000 0.000 0.000 [1 per cell]
2 Sc 0.500 0.500 0.339 [1 per cell]
3 Si 0.000 0.000 0.546 [1 per cell]
4 Cl 0.500 0.500 0.850 [1 per cell]

## Properties
Mass density: 3191 kg/m3


Entry Q
Computed, not measured: a relaxed structure of Sc2SiCl at the PBEsol level of DFT.

Unit cell a=3.754 b=3.754 c=5.256 alpha=90.00 beta=90.00 gamma=90.00
Space group P4/mmm (No. 123)
Asymmetric unit:
1 Sc 0.000 0.000 0.000 [1 per cell]
2 Sc 0.500 0.500 0.500 [1 per cell]
3 Si 0.000 0.000 0.500 [1 per cell]
4 Cl 0.500 0.500 0.000 [1 per cell]

## Properties
Mass density: 3439 kg/m3


Which structure wins on stability? entry Q wins.


Entry P
Computed, not measured: a relaxed structure of ScSi2Cl at the PBEsol level of DFT.

Unit cell a=8.076 b=3.660 c=5.923 alpha=90.00 beta=120.86 gamma=90.00
Space group Cm (No. 8)
Asymmetric unit:
1 Sc 0.000 0.000 0.000 [2 per cell]
2 Si 0.079 0.500 0.432 [2 per cell]
3 Si 0.306 0.000 0.571 [2 per cell]
4 Cl 0.233 0.500 0.064 [2 per cell]

## Properties
Mass density: 3018 kg/m3


Entry Q
Computed, not measured: a relaxed structure of ScSi2Cl at the PBEsol level of DFT.

Unit cell a=2.978 b=3.287 c=7.707 alpha=90.00 beta=90.00 gamma=90.00
Space group Pmm2 (No. 25)
Asymmetric unit:
1 Sc 0.000 0.000 0.000 [1 per cell]
2 Si 0.000 0.000 0.399 [1 per cell]
3 Si 0.500 0.500 0.238 [1 per cell]
4 Cl 0.500 0.500 0.802 [1 per cell]

## Properties
Mass density: 3006 kg/m3


Entry R
Computed, not measured: a relaxed structure of ScSi2Cl at the PBEsol level of DFT.

Unit cell a=3.142 b=3.953 c=11.357 alpha=90.00 beta=90.00 gamma=90.00
Space group Immm (No. 71)
Asymmetric unit:
1 Sc 0.000 0.000 0.000 [2 per cell]
2 Si 0.000 0.500 0.280 [4 per cell]
3 Cl 0.000 0.000 0.500 [2 per cell]

## Properties
Mass density: 3216 kg/m3


Which structure wins on stability? entry P wins.


Entry P
Computed, not measured: a relaxed structure of Sc2TcCl at the PBEsol level of DFT.

Unit cell a=3.3164 b=3.3164 c=25.7663 alpha=90.00 beta=90.00 gamma=120.00
Space group R-3m (No. 166, hexagonal axes)
Asymmetric unit:
1 Sc 0.0000 0.0000 0.0957 [6 per cell]
2 Tc 0.0000 0.0000 0.5000 [3 per cell]
3 Cl 0.0000 0.0000 0.0000 [3 per cell]

## Properties
Mass density: 4534 kg/m3


Entry Q
Computed, not measured: a relaxed structure of Sc2TcCl at the PBEsol level of DFT.

Unit cell a=7.056 b=6.875 c=3.041 alpha=90.00 beta=105.63 gamma=90.00
Space group C2/m (No. 12)
Asymmetric unit:
1 Sc 0.250 0.250 0.000 [4 per cell]
2 Tc 0.000 0.000 0.500 [2 per cell]
3 Cl 0.000 0.500 0.500 [2 per cell]

## Properties
Mass density: 5222 kg/m3


Entry R
Computed, not measured: a relaxed structure of Sc2TcCl at the PBEsol level of DFT.

Unit cell a=3.742 b=3.742 c=5.334 alpha=90.00 beta=90.00 gamma=90.00
Space group P4mm (No. 99)
Asymmetric unit:
1 Sc 0.000 0.000 0.000 [1 per cell]
2 Sc 0.500 0.500 0.413 [1 per cell]
3 Tc 0.000 0.000 0.447 [1 per cell]
4 Cl 0.500 0.500 0.921 [1 per cell]

## Properties
Mass density: 4965 kg/m3


Which structure wins on stability? entry P wins.


Entry P
Computed, not measured: a relaxed structure of ScTc2Cl at the PBEsol level of DFT.

Unit cell a=4.388 b=4.388 c=3.079 alpha=90.00 beta=90.00 gamma=90.00
Space group P4/mmm (No. 123)
Asymmetric unit:
1 Sc 0.000 0.000 0.000 [1 per cell]
2 Tc 0.000 0.500 0.500 [2 per cell]
3 Cl 0.500 0.500 0.000 [1 per cell]

## Properties
Mass density: 7740 kg/m3


Entry Q
Computed, not measured: a relaxed structure of ScTc2Cl at the PBEsol level of DFT.

Unit cell a=2.967 b=4.390 c=5.069 alpha=90.00 beta=90.00 gamma=90.00
Space group Pmmm (No. 47)
Asymmetric unit:
1 Sc 0.000 0.000 0.000 [1 per cell]
2 Tc 0.500 0.500 0.217 [2 per cell]
3 Cl 0.000 0.000 0.500 [1 per cell]

## Properties
Mass density: 6952 kg/m3


Which structure wins on stability? entry Q wins.


Entry P
Computed, not measured: a relaxed structure of ScTcCl at the PBEsol level of DFT.

Unit cell a=4.1743 b=4.1743 c=3.1211 alpha=90.00 beta=90.00 gamma=120.00
Space group P-6m2 (No. 187)
Asymmetric unit:
1 Sc 0.0000 0.0000 0.0000 [1 per cell]
2 Tc 0.3333 0.6667 0.5000 [1 per cell]
3 Cl 0.6667 0.3333 0.5000 [1 per cell]

## Properties
Mass density: 6290 kg/m3


Entry Q
Computed, not measured: a relaxed structure of ScTcCl at the PBEsol level of DFT.

Unit cell a=5.816 b=5.816 c=5.816 alpha=90.00 beta=90.00 gamma=90.00
Space group F-43m (No. 216)
Asymmetric unit:
1 Sc 0.000 0.000 0.000 [4 per cell]
2 Tc 0.000 0.000 0.500 [4 per cell]
3 Cl 0.250 0.250 0.250 [4 per cell]

## Properties
Mass density: 6024 kg/m3


Which structure wins on stability? entry P wins.


Entry P
Computed, not measured: a relaxed structure of ScTlCl at the PBEsol level of DFT.

Unit cell a=3.331 b=3.331 c=11.749 alpha=90.00 beta=90.00 gamma=90.00
Space group I4mm (No. 107)
Asymmetric unit:
1 Sc 0.000 0.000 0.000 [2 per cell]
2 Tl 0.000 0.000 0.693 [2 per cell]
3 Cl 0.000 0.000 0.412 [2 per cell]

## Properties
Mass density: 7257 kg/m3


Entry Q
Computed, not measured: a relaxed structure of ScTlCl at the PBEsol level of DFT.

Unit cell a=6.697 b=6.697 c=6.697 alpha=90.00 beta=90.00 gamma=90.00
Space group F-43m (No. 216)
Asymmetric unit:
1 Sc 0.000 0.000 0.000 [4 per cell]
2 Tl 0.250 0.250 0.250 [4 per cell]
3 Cl 0.250 0.250 0.750 [4 per cell]

## Properties
Mass density: 6297 kg/m3


Which structure wins on stability? entry P wins.


Entry P
Computed, not measured: a relaxed structure of YScCl2 at the PBEsol level of DFT.

Unit cell a=3.4013 b=3.4013 c=26.7085 alpha=90.00 beta=90.00 gamma=120.00
Space group R-3m (No. 166, hexagonal axes)
Asymmetric unit:
1 Y 0.0000 0.0000 0.0000 [3 per cell]
2 Sc 0.0000 0.0000 0.5000 [3 per cell]
3 Cl 0.0000 0.0000 0.1028 [6 per cell]

## Properties
Mass density: 3812 kg/m3


Entry Q
Computed, not measured: a relaxed structure of YScCl2 at the PBEsol level of DFT.

Unit cell a=3.5647 b=3.5647 c=27.7851 alpha=90.00 beta=90.00 gamma=120.00
Space group R3m (No. 160, hexagonal axes)
Asymmetric unit:
1 Y 0.0000 0.0000 0.0000 [3 per cell]
2 Sc 0.0000 0.0000 0.2381 [3 per cell]
3 Cl 0.0000 0.0000 0.5149 [3 per cell]
4 Cl 0.0000 0.0000 0.7302 [3 per cell]

## Properties
Mass density: 3336 kg/m3


Entry R
Computed, not measured: a relaxed structure of YScCl2 at the PBEsol level of DFT.

Unit cell a=6.611 b=6.611 c=6.611 alpha=90.00 beta=90.00 gamma=90.00
Space group Fm-3m (No. 225)
Asymmetric unit:
1 Y 0.000 0.000 0.000 [4 per cell]
2 Sc 0.000 0.000 0.500 [4 per cell]
3 Cl 0.250 0.250 0.250 [8 per cell]

## Properties
Mass density: 4706 kg/m3


Which structure wins on stability? entry Q wins.


Entry P
Computed, not measured: a relaxed structure of YScCl2 at the PBEsol level of DFT.

Unit cell a=3.262 b=6.067 c=8.720 alpha=90.00 beta=90.00 gamma=90.00
Space group Immm (No. 71)
Asymmetric unit:
1 Y 0.000 0.000 0.000 [2 per cell]
2 Sc 0.000 0.000 0.500 [2 per cell]
3 Cl 0.000 0.500 0.240 [4 per cell]

## Properties
Mass density: 3941 kg/m3


Entry Q
Computed, not measured: a relaxed structure of YScCl2 at the PBEsol level of DFT.

Unit cell a=3.539 b=3.539 c=6.705 alpha=90.00 beta=90.00 gamma=90.00
Space group P4mm (No. 99)
Asymmetric unit:
1 Y 0.000 0.000 0.000 [1 per cell]
2 Sc 0.500 0.500 0.665 [1 per cell]
3 Cl 0.000 0.000 0.561 [1 per cell]
4 Cl 0.500 0.500 0.237 [1 per cell]

## Properties
Mass density: 4049 kg/m3


Which structure wins on stability? entry Q wins.


Entry P
Computed, not measured: a relaxed structure of YSc2Cl at the PBEsol level of DFT.

Unit cell a=3.304 b=4.581 c=11.699 alpha=90.00 beta=90.00 gamma=90.00
Space group Amm2 (No. 38)
Asymmetric unit:
1 Y 0.000 0.000 0.000 [2 per cell]
2 Sc 0.000 0.000 0.278 [2 per cell]
3 Sc 0.500 0.000 0.684 [2 per cell]
4 Cl 0.500 0.000 0.465 [2 per cell]

## Properties
Mass density: 4018 kg/m3


Entry Q
Computed, not measured: a relaxed structure of YSc2Cl at the PBEsol level of DFT.

Unit cell a=3.246 b=3.246 c=8.714 alpha=90.00 beta=90.00 gamma=90.00
Space group P4/mmm (No. 123)
Asymmetric unit:
1 Y 0.000 0.000 0.000 [1 per cell]
2 Sc 0.500 0.500 0.276 [2 per cell]
3 Cl 0.000 0.000 0.500 [1 per cell]

## Properties
Mass density: 3875 kg/m3


Which structure wins on stability? entry P wins.


Entry P
Computed, not measured: a relaxed structure of Y2ScCl at the PBEsol level of DFT.

Unit cell a=4.626 b=4.626 c=9.659 alpha=90.00 beta=90.00 gamma=90.00
Space group I4/mmm (No. 139)
Asymmetric unit:
1 Y 0.000 0.500 0.250 [4 per cell]
2 Sc 0.000 0.000 0.000 [2 per cell]
3 Cl 0.000 0.000 0.500 [2 per cell]

## Properties
Mass density: 4149 kg/m3


Entry Q
Computed, not measured: a relaxed structure of Y2ScCl at the PBEsol level of DFT.

Unit cell a=4.298 b=4.298 c=11.112 alpha=90.00 beta=90.00 gamma=90.00
Space group I-4m2 (No. 119)
Asymmetric unit:
1 Y 0.000 0.000 0.000 [2 per cell]
2 Y 0.000 0.500 0.250 [2 per cell]
3 Sc 0.000 0.500 0.750 [2 per cell]
4 Cl 0.000 0.000 0.500 [2 per cell]

## Properties
Mass density: 4177 kg/m3


Which structure wins on stability? entry Q wins.